Material: NiAgSe2
Method: DFT, PBE
State: optimized geometry

Computed properties:
Total energy in eV per atom: -3.950
Uncorrected formation energy in eV per atom: -0.0498
V in Å³/atom: 19.708
E above lowest polymorph in meV per atom: 97
Space group: C2/c (15)

a = 5.7309 Å, b = 5.7309 Å, c = 5.5136 Å
α = 111.06°, β = 111.06°, γ = 83.76°
Closest atoms and distances in Å follow each position.
Sites, in units of the cell vectors:
Ni1 0.0091 0.9909 0.7500  4 Se 2.31-2.34
Ni2 0.9909 0.0091 0.2500  4 Se 2.31-2.34
Ag1 0.3792 0.6208 0.7500  1 Ni 2.83, 6 Se 2.84-2.96
Ag2 0.6208 0.3792 0.2500  1 Ni 2.83, 6 Se 2.84-2.96
Se1 0.1047 0.3371 0.1613  2 Ni 2.31-2.34
Se2 0.3371 0.1047 0.6613  2 Ni 2.31-2.34
Se3 0.6629 0.8953 0.3387  2 Ni 2.31-2.34
Se4 0.8953 0.6629 0.8387  2 Ni 2.31-2.34